Model A:
# ZnCu2As

An optimized crystal structure of ZnCu2As (GGA-PBEsol, Alexandria).

Output
**Calculated volume**: 13.6 Å³/atom

Unit cell a=8.947 b=2.726 c=4.519 alpha=90.00 beta=99.23 gamma=90.00
Space group Cm (No. 8)
Inequivalent atoms, fractional coordinates:
1 Zn 0.000 0.000 0.000 x2
2 Cu 0.248 0.500 0.208 x2
3 Cu 0.482 0.000 0.470 x2
4 As 0.229 0.000 0.690 x2

---

Model B:
# ZnCu2As

An optimized crystal structure of ZnCu2As (GGA-PBEsol, Alexandria).

Output
**Calculated volume**: 13.4 Å³/atom

Unit cell a=3.692 b=3.692 c=7.838 alpha=90.00 beta=90.00 gamma=90.00
Space group I-4m2 (No. 119)
Inequivalent atoms, fractional coordinates:
1 Zn 0.000 0.000 0.000 x2
2 Cu 0.000 0.000 0.500 x2
3 Cu 0.000 0.500 0.250 x2
4 As 0.000 0.500 0.750 x2

---

Here are the energies relative to the best structure, in kJ/mol of atoms: model A 3.9; model B 0.0.